{
  "formula": "KPuMoO6",
  "functional": "PBE with a Hubbard U",
  "state": "optimized geometry",
  "sg": "P-31c (163)",
  "mass_density_kg_m3": 5067,
  "dft_energy_ev_per_atom": -7.91,
  "lattice_angstrom": [[5.5443, 0.0000, 0.0000], [-2.7721, 4.8015, 0.0000], [0.0000, 0.0000, 11.6964]],
  "species": ["K", "K", "Pu", "Pu", "Mo", "Mo", "O", "O", "O", "O", "O", "O", "O", "O", "O", "O", "O", "O"],
  "fractional_positions": [[0.0000, 0.0000, 0.0000], [0.0000, 0.0000, 0.5000], [0.3333, 0.6667, 0.2500], [0.6667, 0.3333, 0.7500], [0.3333, 0.6667, 0.7500], [0.6667, 0.3333, 0.2500], [0.0210, 0.3921, 0.6574], [0.0210, 0.6289, 0.8426], [0.3711, 0.3921, 0.8426], [0.3711, 0.9790, 0.6574], [0.3921, 0.0210, 0.1574], [0.3921, 0.3711, 0.3426], [0.6079, 0.6289, 0.6574], [0.6079, 0.9790, 0.8426], [0.6289, 0.0210, 0.3426], [0.6289, 0.6079, 0.1574], [0.9790, 0.3711, 0.1574], [0.9790, 0.6079, 0.3426]]
}